# 1
The following is a DFT calculation (PBE) of a relaxed structure of SbCSe2. Values from VASP.

Geometry as Quantum ESPRESSO input:
```
&SYSTEM
  ibrav = 0, nat = 4, ntyp = 3
/
ATOMIC_SPECIES
C 12.01 C.upf
Se 78.96 Se.upf
Sb 121.76 Sb.upf
CELL_PARAMETERS angstrom
0.000 3.369 3.369
3.369 0.000 3.369
3.369 3.369 0.000
ATOMIC_POSITIONS crystal
C 0.000 0.000 0.000
Se 0.250 0.250 0.250
Sb 0.500 0.500 0.500
Se 0.750 0.750 0.750
```

Results
**Crystal system**: cubic
**Energy relative to the lowest polymorph listed for this composition**: 0.6642 eV per atom
**ΔE_f (raw)**: 1.535 eV/atom
**Space-group type**: No. 225

---

# 2
The following is a DFT calculation (PBE) of a relaxed structure of NdScZn2Pd5. Values from VASP.

Geometry as Quantum ESPRESSO input:
```
&SYSTEM
  ibrav = 0, nat = 9, ntyp = 4
/
ATOMIC_SPECIES
Zn 65.41 Zn.upf
Sc 44.96 Sc.upf
Nd 144.24 Nd.upf
Pd 106.42 Pd.upf
CELL_PARAMETERS angstrom
-0.499 4.123 -0.004
-0.724 -0.091 -4.088
-9.179 -1.109 1.651
ATOMIC_POSITIONS crystal
Zn 0.500 0.500 0.125
Sc 0.000 0.000 0.000
Nd 0.000 0.000 0.500
Pd 0.000 0.500 0.731
Pd 0.500 0.500 0.500
Pd 0.000 0.500 0.269
Zn 0.500 0.500 0.875
Pd 0.500 0.000 0.731
Pd 0.500 0.000 0.269
```

Results
**Energy of formation from the pure elements**: -5.07 eV per formula unit
**Crystal system**: tetragonal
**Space-group type**: No. 123

---

# 3
The following is a DFT calculation (PBE) of a relaxed structure of GaHgS6. Values from VASP.

Geometry as Quantum ESPRESSO input:
```
&SYSTEM
  ibrav = 0, nat = 8, ntyp = 3
/
ATOMIC_SPECIES
Hg 200.59 Hg.upf
S 32.06 S.upf
Ga 69.72 Ga.upf
CELL_PARAMETERS angstrom
-3.313 -6.767 -2.120
8.664 -3.332 8.799
-0.600 4.900 1.866
ATOMIC_POSITIONS crystal
Hg 0.500 0.500 0.500
S 0.799 0.366 0.463
S 0.672 0.185 0.223
S 0.201 0.634 0.537
S 0.625 0.107 0.504
S 0.375 0.893 0.496
Ga 0.000 0.000 0.000
S 0.328 0.815 0.777
```

Results
**Crystal system**: triclinic
**ΔE_f (raw)**: 0.006 eV/atom
**Space-group type**: No. 2

---

# 4
The following is a DFT calculation (PBE) of a relaxed structure of YTl2. Values from VASP.

Geometry as Quantum ESPRESSO input:
```
&SYSTEM
  ibrav = 0, nat = 3, ntyp = 2
/
ATOMIC_SPECIES
Y 88.91 Y.upf
Tl 204.38 Tl.upf
CELL_PARAMETERS angstrom
-3.564 -0.168 0.684
2.050 -2.985 0.297
1.340 1.655 7.386
ATOMIC_POSITIONS crystal
Y 0.000 0.000 0.000
Tl 0.667 0.333 0.662
Tl 0.333 0.667 0.338
```

Results
**Energy of formation from the pure elements**: -0.13 eV per formula unit
**Crystal system**: trigonal
**Space-group type**: No. 164

---

# 5
The following is a DFT calculation (PBE) of a relaxed structure of Nd2TmThSc4. Values from VASP.

Geometry as Quantum ESPRESSO input:
```
&SYSTEM
  ibrav = 0, nat = 8, ntyp = 4
/
ATOMIC_SPECIES
Nd 144.24 Nd.upf
Sc 44.96 Sc.upf
Th 232.04 Th.upf
Tm 168.93 Tm.upf
CELL_PARAMETERS angstrom
-4.686 1.696 0.460
-0.804 -3.236 3.743
2.041 2.998 9.741
ATOMIC_POSITIONS crystal
Nd 0.000 0.000 0.000
Sc 0.500 0.747 0.252
Sc 0.000 0.248 0.252
Th 0.000 0.500 0.500
Sc 0.500 0.253 0.748
Sc 0.000 0.752 0.748
Nd 0.500 0.000 0.500
Tm 0.500 0.500 0.000
```

Results
**Energy of formation from the pure elements**: 0.42 eV per formula unit
**Crystal system**: tetragonal
**Space-group type**: No. 123

---

# 6
The following is a DFT calculation (PBE) of a relaxed structure of Lu2SiAs. Values from VASP.

Geometry as Quantum ESPRESSO input:
```
&SYSTEM
  ibrav = 0, nat = 4, ntyp = 3
/
ATOMIC_SPECIES
Si 28.09 Si.upf
Lu 174.97 Lu.upf
As 74.92 As.upf
CELL_PARAMETERS angstrom
-0.989 2.235 -3.054
-3.491 -0.453 -1.706
-4.222 5.308 2.747
ATOMIC_POSITIONS crystal
Si 0.500 0.500 0.500
Lu 0.253 0.253 0.242
Lu 0.747 0.747 0.758
As 0.000 0.000 0.000
```

Results
**Crystal system**: trigonal
**ΔE_f (raw)**: -0.945 eV/atom
**Space-group type**: No. 166

---

# 7
The following is a DFT calculation (PBE) of a relaxed structure of KPuO5. Values from VASP.

Geometry as Quantum ESPRESSO input:
```
&SYSTEM
  ibrav = 0, nat = 14, ntyp = 3
/
ATOMIC_SPECIES
O 16.00 O.upf
Pu 244.00 Pu.upf
K 39.10 K.upf
CELL_PARAMETERS angstrom
3.811 -1.502 1.856
-1.056 9.385 -0.981
1.204 -1.167 7.459
ATOMIC_POSITIONS crystal
O 0.736 0.097 0.095
Pu 0.880 0.750 0.120
O 0.072 0.401 0.096
Pu 0.120 0.250 0.880
O 0.202 0.097 0.665
O 0.620 0.250 0.880
K 0.120 0.249 0.380
O 0.466 0.406 0.666
O 0.380 0.750 0.120
O 0.534 0.594 0.334
O 0.798 0.903 0.335
K 0.880 0.751 0.620
O 0.928 0.599 0.904
O 0.264 0.903 0.905
```

Results
**Crystal system**: triclinic
**ΔE_f (raw)**: -1.700 eV/atom
**Space-group type**: No. 2

---

# 8
The following is a DFT calculation (PBE) of a relaxed structure of Ge3BIr. Values from VASP.

Geometry as Quantum ESPRESSO input:
```
&SYSTEM
  ibrav = 0, nat = 5, ntyp = 3
/
ATOMIC_SPECIES
Ge 72.64 Ge.upf
Ir 192.22 Ir.upf
B 10.81 B.upf
CELL_PARAMETERS angstrom
4.781 0.000 0.000
0.000 4.781 0.000
0.000 0.000 4.781
ATOMIC_POSITIONS crystal
Ge 0.000 0.000 0.500
Ir 0.000 0.000 0.000
B 0.500 0.500 0.500
Ge 0.500 0.000 0.000
Ge 0.000 0.500 0.000
```

Results
**Energy of formation from the pure elements**: 5.59 eV per formula unit
**Crystal system**: cubic
**Energy relative to the lowest polymorph listed for this composition**: 0.3198 eV per atom
**Space-group type**: No. 221